(1)
Compound: NaH4CSNO2
Source: the Alexandria database
Functional: PBEsol
Structure: optimized geometry

The value obtained for the total energy is -5.529 eV per atom. The value obtained for the density of states at the Fermi level is 0.00 states/eV per cell.

Unit cell a=11.8130 b=13.8027 c=6.1981 alpha=90.00 beta=108.23 gamma=90.00
Closest atoms and distances in Å follow each position.
Space group C2/c (No. 15)
Inequivalent atoms, fractional coordinates:
Na: 0.0000 0.0700 0.2500  2 O 2.40, 4 N 2.49-2.54
Na: 0.0000 0.1998 0.7500  4 O 2.40-2.53, 2 N 2.50
H: 0.1169 0.2601 0.1928  1 O 0.99
H: 0.1273 0.3845 0.8473  1 O 0.99
H: 0.1296 0.3720 0.5957  1 O 0.99
H: 0.2045 0.1785 0.1749  1 O 1.00
C: 0.2261 0.0734 0.7001  1 N 1.18
S: 0.1292 0.4198 0.2405  1 C 1.63
N: 0.1215 0.0665 0.6593  1 C 1.18
O: 0.1174 0.1918 0.1433  2 H 0.99-1.00
O: 0.1413 0.3363 0.7404  2 H 0.99


(2)
Compound: NaH6CSNO3
Source: the Alexandria database
Functional: PBEsol
Structure: optimized geometry

The value obtained for the total energy is -5.443 eV per atom. The value obtained for the density of states at the Fermi level is 0.00 states/eV per cell.

Unit cell a=17.4464 b=17.4464 c=9.3779 alpha=90.00 beta=90.00 gamma=120.00
Closest atoms and distances in Å follow each position.
Space group R-3 (No. 148, hexagonal axes)
Inequivalent atoms, fractional coordinates:
Na: 0.0279 0.4221 0.4291  5 O 2.35-2.47
H: 0.0349 0.2725 0.2862  1 O 0.99
H: 0.0455 0.6109 0.3059  1 O 1.01
H: 0.0801 0.8967 0.8616  1 O 1.00
H: 0.0894 0.9011 0.6382  1 O 1.01
H: 0.0993 0.5500 0.1518  1 O 0.99
H: 0.1105 0.5560 0.6848  1 O 0.99
C: 0.0387 0.9500 0.2597  2 N 1.36
S: 0.0866 0.8850 0.2547  1 C 1.71
N: 0.0394 0.9489 0.7397  2 C 1.36
O: 0.0103 0.7116 0.6869  2 H 0.99-1.01
O: 0.0859 0.5448 0.2554  2 H 0.99-1.01
O: 0.0938 0.5533 0.5833  2 H 0.99-1.00


(3)
Compound: NiH6C2N2O4
Source: the Alexandria database
Functional: PBEsol
Structure: optimized geometry

The value obtained for the total energy is -6.283 eV per atom.

Unit cell a=13.0313 b=6.6855 c=8.6333 alpha=90.00 beta=129.65 gamma=90.00
Closest atoms and distances in Å follow each position.
Space group C2/c (No. 15)
Inequivalent atoms, fractional coordinates:
Ni: 0.0000 0.2443 0.2500  2 N 2.02, 4 O 2.06-2.11
H: 0.1110 0.4433 0.7125  1 N 1.03
H: 0.1972 0.4948 0.4528  1 N 1.03
H: 0.2078 0.3568 0.3089  1 N 1.03
C: 0.0591 0.0587 0.5904  2 O 1.26-1.27
N: 0.1404 0.4375 0.3089  3 H 1.03
O: 0.0943 0.2153 0.5513  1 C 1.27
O: 0.1131 0.0076 0.2639  1 C 1.26


(4)
Compound: NiH10C4S2N8
Source: the Alexandria database
Functional: PBEsol
Structure: optimized geometry

The value obtained for the total energy is -6.438 eV per atom. The value obtained for the density of states at the Fermi level is 0.00 states/eV per cell.

Unit cell a=14.6629 b=7.7010 c=9.0972 alpha=90.00 beta=110.77 gamma=90.00
Closest atoms and distances in Å follow each position.
Space group C2/c (No. 15)
Inequivalent atoms, fractional coordinates:
Ni: 0.0000 0.1043 0.2500  4 N 1.83-1.84
H: 0.0134 0.3917 0.1399  1 N 1.04
H: 0.0673 0.1901 0.7353  1 N 1.03
H: 0.1735 0.3056 0.6178  1 N 1.03
H: 0.2161 0.1147 0.0424  1 N 1.04
H: 0.2469 0.3484 0.4130  1 N 1.02
C: 0.1112 0.2628 0.0849  2 N 1.31-1.37
C: 0.1396 0.0470 0.6375  3 N 1.31-1.37
S: 0.1306 0.4281 0.9709  1 C 1.73
N: 0.0506 0.2747 0.1609  1 H 1.04
N: 0.0697 0.0660 0.6943  1 H 1.03
N: 0.1601 0.1107 0.0874  1 H 1.04
N: 0.1968 0.1788 0.6243  2 H 1.02-1.03


(5)
Compound: ZnP2H11C2NO8
Source: the Alexandria database
Functional: PBEsol
Structure: optimized geometry

The value obtained for the total energy is -5.893 eV per atom. The value obtained for the density of states at the Fermi level is 0.00 states/eV per cell.

Unit cell a=12.7013 b=10.7018 c=14.5526 alpha=90.00 beta=98.83 gamma=90.00
Closest atoms and distances in Å follow each position.
Space group Cc (No. 9)
Inequivalent atoms, fractional coordinates:
Zn: 0.0000 0.1206 0.0000  4 O 1.91-1.96
Zn: 0.2535 0.3715 0.0824  4 O 1.91-1.97
P: 0.0174 0.3768 0.1195  4 O 1.52-1.57
P: 0.2352 0.1121 0.9621  4 O 1.52-1.57
P: 0.2816 0.4821 0.3907  4 O 1.52-1.57
P: 0.4707 0.4748 0.1930  4 O 1.52-1.57
H: 0.0102 0.2881 0.5035  1 C 1.10
H: 0.0235 0.3856 0.8863  1 C 1.10
H: 0.0355 0.1636 0.4262  1 C 1.10
H: 0.0802 0.0935 0.8211  1 O 1.03
H: 0.1002 0.1121 0.5821  1 N 1.06
H: 0.1159 0.3025 0.4356  1 C 1.10
H: 0.1371 0.3180 0.6506  1 C 1.10
H: 0.1734 0.4146 0.2574  1 O 1.04
H: 0.1991 0.1613 0.2792  1 C 1.10
H: 0.2029 0.1226 0.5233  1 N 1.06
H: 0.2432 0.3349 0.5834  1 C 1.10
H: 0.2514 0.2170 0.6731  1 C 1.10
H: 0.2614 0.0152 0.2589  1 C 1.10
H: 0.2914 0.2561 0.8677  1 O 1.02
H: 0.2942 0.1542 0.1996  1 C 1.10
H: 0.3402 0.0976 0.4020  1 N 1.06
H: 0.3633 0.2391 0.3573  1 N 1.05
H: 0.3779 0.4030 0.7959  1 O 1.14
H: 0.3915 0.0006 0.0532  1 O 1.04
H: 0.4591 0.0021 0.8076  1 C 1.10
H: 0.4657 0.2700 0.7153  1 O 1.04
H: 0.4860 0.1500 0.2642  1 C 1.10
C: 0.0720 0.2368 0.4738  3 H 1.10
C: 0.1981 0.2676 0.6192  3 H 1.10
C: 0.2728 0.1169 0.2646  3 H 1.10
C: 0.4645 0.0982 0.3239  3 H 1.10
N: 0.1452 0.1775 0.5502  2 H 1.06
N: 0.3595 0.1428 0.3422  2 H 1.05-1.06
O: 0.0109 0.0021 0.1002  1 P 1.54, 1 H 1.72
O: 0.0648 0.1010 0.7496  1 H 1.03
O: 0.1146 0.0900 0.9261  1 H 1.52, 1 P 1.56
O: 0.1368 0.3991 0.1552  1 H 1.50, 1 P 1.54
O: 0.1855 0.4169 0.3295  1 H 1.04
O: 0.2432 0.4866 0.9815  1 P 1.52
O: 0.2512 0.2001 0.0449  1 P 1.52
O: 0.2884 0.1620 0.8783  1 H 1.02
O: 0.2890 0.0153 0.4881  1 H 1.50, 1 P 1.55
O: 0.3129 0.3956 0.8416  1 H 1.14
O: 0.3704 0.3948 0.1810  1 P 1.52
O: 0.3769 0.3914 0.4028  1 P 1.54
O: 0.4529 0.4019 0.7452  1 H 1.29
O: 0.4630 0.1750 0.7012  1 H 1.04
O: 0.4657 0.0073 0.0954  1 H 1.04
O: 0.4988 0.2068 0.5340  1 P 1.52


(6)
Compound: ZnP2H13C2N6O8
Source: the Alexandria database
Functional: PBEsol
Structure: optimized geometry

The value obtained for the total energy is -6.205 eV per atom. The value obtained for the density of states at the Fermi level is 44.13 states/eV per cell.

Unit cell a=10.4548 b=12.7557 c=9.6710 alpha=90.00 beta=90.00 gamma=90.00
Closest atoms and distances in Å follow each position.
Space group Pna2_1 (No. 33)
Inequivalent atoms, fractional coordinates:
Zn: 0.0330 0.1371 0.0000  4 O 1.91-1.94
P: 0.0050 0.9891 0.7548  4 O 1.52-1.59
P: 0.2195 0.7531 0.5941  4 O 1.53-1.56
H: 0.0597 0.6206 0.4456  1 N 1.03
H: 0.0651 0.6446 0.7467  1 N 1.04
H: 0.0970 0.3932 0.2222  1 N 1.03
H: 0.1371 0.1600 0.4589  1 N 1.04
H: 0.1429 0.8763 0.0072  1 N 1.03
H: 0.1471 0.8281 0.2450  1 N 1.04
H: 0.1622 0.1162 0.6303  1 N 1.03
H: 0.1657 0.4418 0.9604  1 N 1.04
H: 0.1701 0.5367 0.3658  1 N 1.02
H: 0.2027 0.9353 0.6823  1 O 1.12
H: 0.2046 0.5464 0.8469  1 N 1.02
H: 0.2050 0.7845 0.8845  1 N 1.04
H: 0.2424 0.2326 0.7987  1 N 1.03
C: 0.0157 0.5120 0.8493  3 N 1.33-1.34
C: 0.2456 0.7530 0.0862  3 N 1.33-1.34
N: 0.0101 0.4051 0.2701  2 H 1.03-1.04
N: 0.0769 0.5529 0.3901  2 H 1.02-1.03
N: 0.1377 0.4961 0.8864  2 H 1.02-1.04
N: 0.1783 0.1720 0.5556  2 H 1.03-1.04
N: 0.2015 0.8141 0.9847  2 H 1.03-1.04
N: 0.2150 0.7720 0.2177  2 H 1.03-1.04
O: 0.0343 0.1110 0.3289  1 P 1.52
O: 0.0378 0.9080 0.3242  1 P 1.54, 1 H 1.71
O: 0.0472 0.0089 0.1049  1 P 1.55
O: 0.0785 0.7476 0.5427  1 P 1.56
O: 0.1569 0.9965 0.7485  1 H 1.12
O: 0.2010 0.1953 0.9827  1 P 1.55
O: 0.2239 0.7008 0.7368  1 P 1.53
O: 0.2340 0.3692 0.1025  1 H 1.32